# 1
Entry from the Alexandria database: RbCl2F11 after structural relaxation (PBE).

CIF file:
```
data_RbCl2F11
_chemical_formula_sum 'Rb2 Cl4 F22'
_cell_length_a 9.670
_cell_length_b 8.779
_cell_length_c 8.779
_cell_angle_alpha 66.70
_cell_angle_beta 56.58
_cell_angle_gamma 56.58
_space_group_name_H-M_alt 'P 1'
_space_group_IT_number 1
loop_
_space_group_symop_operation_xyz
'x,y,z'
loop_
_atom_site_label
_atom_site_fract_x
_atom_site_fract_y
_atom_site_fract_z
F1 0.636 0.180 0.048
F2 0.636 0.680 0.548
Cl1 0.155 0.846 0.154
F3 0.681 0.636 0.136
Cl2 0.845 0.154 0.846
F4 0.819 0.364 0.864
F5 0.046 0.136 0.636
F6 0.364 0.820 0.952
F7 0.864 0.452 0.320
F8 0.277 0.724 0.276
F9 0.864 0.952 0.820
F10 0.954 0.864 0.364
F11 0.136 0.048 0.180
F12 0.223 0.224 0.776
Cl3 0.345 0.346 0.654
Cl4 0.655 0.654 0.346
F13 0.546 0.136 0.636
F14 0.319 0.364 0.864
F15 0.500 0.500 0.500
Rb1 0.750 0.750 0.750
F16 0.181 0.636 0.136
F17 0.723 0.276 0.724
Rb2 0.250 0.250 0.250
F18 0.777 0.776 0.224
F19 0.136 0.548 0.680
F20 0.000 0.000 0.000
F21 0.364 0.320 0.452
F22 0.454 0.864 0.364
```

* uncorrected energy: -2.75 eV per atom

---

# 2
Entry from the Alexandria database: Rb8Cl6F after structural relaxation (PBE).

CIF file:
```
data_Rb8Cl6F
_chemical_formula_sum 'Rb8 Cl6 F1'
_cell_length_a 7.284
_cell_length_b 9.527
_cell_length_c 9.527
_cell_angle_alpha 120.00
_cell_angle_beta 90.00
_cell_angle_gamma 90.00
_space_group_name_H-M_alt 'P 1'
_space_group_IT_number 1
loop_
_space_group_symop_operation_xyz
'x,y,z'
loop_
_atom_site_label
_atom_site_fract_x
_atom_site_fract_y
_atom_site_fract_z
F1 0.500 0.000 0.000
Rb1 0.712 0.741 0.741
Rb2 0.712 0.259 0.000
Rb3 0.288 0.259 0.259
Rb4 0.000 0.333 0.667
Rb5 0.712 0.000 0.259
Cl1 0.767 0.388 0.388
Rb6 0.288 0.741 0.000
Rb7 0.288 0.000 0.741
Cl2 0.233 0.388 0.000
Cl3 0.233 0.000 0.388
Cl4 0.767 0.612 0.000
Cl5 0.233 0.612 0.612
Cl6 0.767 0.000 0.612
Rb8 0.000 0.667 0.333
```

* uncorrected energy: -3.20 eV per atom

---

# 3
Entry from the Alexandria database: RbClF2 after structural relaxation (PBE).

CIF file:
```
data_RbClF2
_chemical_formula_sum 'Rb2 Cl2 F4'
_cell_length_a 4.859
_cell_length_b 4.859
_cell_length_c 8.255
_cell_angle_alpha 72.88
_cell_angle_beta 72.88
_cell_angle_gamma 90.00
_space_group_name_H-M_alt 'P 1'
_space_group_IT_number 1
loop_
_space_group_symop_operation_xyz
'x,y,z'
loop_
_atom_site_label
_atom_site_fract_x
_atom_site_fract_y
_atom_site_fract_z
F1 0.504 0.125 0.250
F2 0.375 0.496 0.750
Cl1 0.500 0.500 0.000
F3 0.246 0.625 0.250
F4 0.875 0.754 0.750
Cl2 0.250 0.750 0.500
Rb1 0.750 0.250 0.500
Rb2 0.000 0.000 0.000
```

* energy relative to the lowest polymorph listed for this composition: 1.96 eV/f.u.

---

# 4
Entry from the Alexandria database: RbClF4 after structural relaxation (PBE).

CIF file:
```
data_RbClF4
_chemical_formula_sum 'Rb2 Cl2 F8'
_cell_length_a 5.576
_cell_length_b 5.576
_cell_length_c 10.177
_cell_angle_alpha 74.51
_cell_angle_beta 74.51
_cell_angle_gamma 51.47
_space_group_name_H-M_alt 'P 1'
_space_group_IT_number 1
loop_
_space_group_symop_operation_xyz
'x,y,z'
loop_
_atom_site_label
_atom_site_fract_x
_atom_site_fract_y
_atom_site_fract_z
Cl1 0.250 0.750 0.250
F1 0.720 0.220 0.936
F2 0.561 0.061 0.783
F3 0.939 0.439 0.717
F4 0.061 0.561 0.283
F5 0.220 0.720 0.436
Cl2 0.750 0.250 0.750
Rb1 0.000 0.500 0.000
F6 0.780 0.280 0.564
F7 0.439 0.939 0.217
F8 0.280 0.780 0.064
Rb2 0.500 0.000 0.500
```

* uncorrected energy: -3.17 eV per atom

---

# 5
Entry from the Alexandria database: Rb2ClF after structural relaxation (PBE).

CIF file:
```
data_Rb2ClF
_chemical_formula_sum 'Rb4 Cl2 F2'
_cell_length_a 4.264
_cell_length_b 6.395
_cell_length_c 8.921
_cell_angle_alpha 90.00
_cell_angle_beta 90.00
_cell_angle_gamma 90.00
_space_group_name_H-M_alt 'P 1'
_space_group_IT_number 1
loop_
_space_group_symop_operation_xyz
'x,y,z'
loop_
_atom_site_label
_atom_site_fract_x
_atom_site_fract_y
_atom_site_fract_z
Rb1 0.000 0.000 0.405
Rb2 0.000 0.000 0.842
Rb3 0.500 0.500 0.158
Rb4 0.500 0.500 0.595
Cl1 0.000 0.500 0.871
F1 0.000 0.500 0.388
F2 0.500 0.000 0.612
Cl2 0.500 0.000 0.129
```

* energy relative to the lowest polymorph listed for this composition: 0.05 eV/f.u.

---

# 6
Entry from the Alexandria database: Rb2ClF2 after structural relaxation (PBE).

CIF file:
```
data_Rb2ClF2
_chemical_formula_sum 'Rb2 Cl1 F2'
_cell_length_a 4.671
_cell_length_b 4.671
_cell_length_c 7.678
_cell_angle_alpha 72.29
_cell_angle_beta 72.29
_cell_angle_gamma 90.00
_space_group_name_H-M_alt 'P 1'
_space_group_IT_number 1
loop_
_space_group_symop_operation_xyz
'x,y,z'
loop_
_atom_site_label
_atom_site_fract_x
_atom_site_fract_y
_atom_site_fract_z
F1 0.750 0.250 0.500
Cl1 0.000 0.000 0.000
Rb1 0.350 0.350 0.300
Rb2 0.650 0.650 0.700
F2 0.250 0.750 0.500
```

* energy relative to the lowest polymorph listed for this composition: 0.33 eV/f.u.

---

# 7
Entry from the Alexandria database: Rb3Cl3F after structural relaxation (PBE).

CIF file:
```
data_Rb3Cl3F
_chemical_formula_sum 'Rb6 Cl6 F2'
_cell_length_a 8.184
_cell_length_b 8.184
_cell_length_c 8.023
_cell_angle_alpha 97.69
_cell_angle_beta 97.69
_cell_angle_gamma 114.61
_space_group_name_H-M_alt 'P 1'
_space_group_IT_number 1
loop_
_space_group_symop_operation_xyz
'x,y,z'
loop_
_atom_site_label
_atom_site_fract_x
_atom_site_fract_y
_atom_site_fract_z
Cl1 0.172 0.828 0.500
Rb1 0.937 0.577 0.750
Rb2 0.851 0.851 0.188
Rb3 0.063 0.423 0.250
Cl2 0.828 0.172 0.500
Rb4 0.423 0.063 0.250
Cl3 0.484 0.484 0.621
F1 0.853 0.853 0.849
Rb5 0.149 0.149 0.812
Rb6 0.577 0.937 0.750
Cl4 0.516 0.516 0.379
F2 0.147 0.147 0.151
Cl5 0.662 0.338 0.000
Cl6 0.338 0.662 0.000
```

* uncorrected energy: -3.28 eV per atom

---

# 8
Entry from the Alexandria database: Rb2ClF after structural relaxation (PBE).

CIF file:
```
data_Rb2ClF
_chemical_formula_sum 'Rb2 Cl1 F1'
_cell_length_a 4.354
_cell_length_b 4.354
_cell_length_c 7.702
_cell_angle_alpha 73.58
_cell_angle_beta 73.58
_cell_angle_gamma 60.00
_space_group_name_H-M_alt 'P 1'
_space_group_IT_number 1
loop_
_space_group_symop_operation_xyz
'x,y,z'
loop_
_atom_site_label
_atom_site_fract_x
_atom_site_fract_y
_atom_site_fract_z
Rb1 0.262 0.262 0.214
Rb2 0.738 0.738 0.786
F1 0.000 0.000 0.000
Cl1 0.500 0.500 0.500
```

* energy relative to the lowest polymorph listed for this composition: 0.04 eV/f.u.

---

Number 1: N(E_F) 0.0 states/eV per cell, spin magnetization 0.0 Bohr magnetons per cell. Number 2: N(E_F) 2.3 states/eV per cell, spin magnetization 0.7 Bohr magnetons per cell. Number 3: N(E_F) 1.7 states/eV per cell, spin magnetization 0.0 Bohr magnetons per cell. Number 4: N(E_F) 0.0 states/eV per cell, spin magnetization 0.0 Bohr magnetons per cell. Number 5: N(E_F) 0.0 states/eV per cell, spin magnetization 0.0 Bohr magnetons per cell. Number 6: N(E_F) 12.8 states/eV per cell, spin magnetization 1.0 Bohr magnetons per cell. Number 7: N(E_F) 0.0 states/eV per cell, spin magnetization 0.4 Bohr magnetons per cell. Number 8: N(E_F) 0.0 states/eV per cell, spin magnetization 0.0 Bohr magnetons per cell.